1.
Below is crystalline LiLaZn2 at its relaxed geometry, with properties calculated at the GGA-PBE level.

## Properties
As for the formation energy: 0.243 eV per atom.

Unit cell a=3.0817 b=4.8857 c=11.4367 alpha=90.00 beta=90.00 gamma=90.00
With the nearest neighbours (Å) after each atom.
Space group Immm (No. 71)
Inequivalent atoms, fractional coordinates:
Li: 0.0000 0.0000 0.0000 (multiplicity 2)  2 Zn 2.42
La: 0.0000 0.0000 0.5000 (multiplicity 2)  4 Li 2.89, 2 La 3.08
Zn: 0.0000 0.0000 0.2118 (multiplicity 4)  1 Li 2.42

***

2.
Below is crystalline Rb2NpRh3O12 at its relaxed geometry, with properties calculated at the GGA-PBE level.

## Properties
The value obtained for the uncorrected formation energy is -1.27 eV/atom.

Unit cell a=7.2052 b=7.2052 c=18.7306 alpha=90.00 beta=90.00 gamma=120.00
With the nearest neighbours (Å) after each atom.
Space group R-3m (No. 166, hexagonal axes)
Inequivalent atoms, fractional coordinates:
Rb: 0.0000 0.0000 0.1151 (multiplicity 6)  6 O 3.09-3.29
Np: 0.0000 0.0000 0.5000 (multiplicity 3)  6 O 2.01
Rh: 0.0000 0.5000 0.0000 (multiplicity 9)  6 O 1.93-2.01
O: 0.0693 0.5346 0.1050 (multiplicity 18)  1 Np 2.01, 1 Rh 2.01
O: 0.0696 0.5348 0.3522 (multiplicity 18)  2 Rh 1.93

***

3.
Below is crystalline Cs2ZrTe at its relaxed geometry, with properties calculated at the GGA-PBE level.

## Properties
The value obtained for the uncorrected formation energy is 0.13 eV/atom. The offset from the most stable computed form comes out at 0.0 meV/atom.

Unit cell a=14.0994 b=14.0994 c=5.5957 alpha=90.00 beta=90.00 gamma=90.00
With the nearest neighbours (Å) after each atom.
Space group I-42d (No. 122)
Inequivalent atoms, fractional coordinates:
Cs: 0.0880 0.7500 0.1250 (multiplicity 8)  2 Te 3.80
Zr: 0.0000 0.0000 0.5000 (multiplicity 4)  2 Te 2.80
Te: 0.0000 0.0000 0.0000 (multiplicity 4)  2 Zr 2.80

***

4.
Below is crystalline NpGe2RuPt at its relaxed geometry, with properties calculated at the GGA-PBE level.

## Properties
As for the formation energy: -0.419 eV per atom.

Unit cell a=4.1323 b=4.1323 c=10.6146 alpha=90.00 beta=90.00 gamma=90.00
With the nearest neighbours (Å) after each atom.
Space group I-4m2 (No. 119)
Inequivalent atoms, fractional coordinates:
Np: 0.0000 0.0000 0.0000 (multiplicity 2)  8 Ge 3.18, 4 Ru 3.36, 4 Pt 3.36
Ge: 0.0000 0.0000 0.3809 (multiplicity 4)  2 Ru 2.49, 2 Pt 2.49, 1 Ge 2.53
Ru: 0.0000 0.5000 0.2500 (multiplicity 2)  4 Ge 2.49
Pt: 0.0000 0.5000 0.7500 (multiplicity 2)  4 Ge 2.49